(1)
# Sc3RePd

A relaxed structure of Sc3RePd (PBEsol, Alexandria).

The space group is Pm-3m (No. 221) and the conventional cell measures 4.815, 4.815 and 4.815 Å, with angles of 90.00, 90.00 and 90.00 degrees. The asymmetric unit holds Sc at (0.000, 0.000, 0.500), Re at (0.500, 0.500, 0.500) and Pd at (0.000, 0.000, 0.000).

As for the energy of formation: 0.68 eV/atom.

=====

(2)
# AlHgTe2I

A relaxed structure of AlHgTe2I (PBEsol, Alexandria).

The space group is P4/mmm (No. 123) and the conventional cell measures 5.525, 5.525 and 5.801 Å, with angles of 90.00, 90.00 and 90.00 degrees. The asymmetric unit holds Al at (0.000, 0.000, 0.000), Hg at (0.500, 0.500, 0.500), Te at (0.000, 0.500, 0.500) and I at (0.500, 0.500, 0.000).

Its uncorrected formation energy is 0.511 eV per atom.

=====

(3)
# BaLa2SiNi

A relaxed structure of BaLa2SiNi (PBEsol, Alexandria).

The space group is P4/mmm (No. 123) and the conventional cell measures 5.258, 5.258 and 5.427 Å, with angles of 90.00, 90.00 and 90.00 degrees. The asymmetric unit holds Ba at (0.000, 0.000, 0.000), La at (0.000, 0.500, 0.500), Si at (0.500, 0.500, 0.000) and Ni at (0.000, 0.000, 0.500).

Its uncorrected formation energy is 0.036 eV per atom.

=====

(4)
# TlCoAg2

A relaxed structure of TlCoAg2 (PBEsol, Alexandria).

The space group is P4mm (No. 99) and the conventional cell measures 3.034, 3.034 and 7.177 Å, with angles of 90.00, 90.00 and 90.00 degrees. The asymmetric unit holds Tl at (0.000, 0.000, 0.000), Co at (0.500, 0.500, 0.765), Ag at (0.000, 0.000, 0.550) and Ag at (0.500, 0.500, 0.298).

As for the energy of formation: 0.38 eV/atom. The value obtained for the distance to the lowest polymorph of the same formula is 0 meV per atom.

=====

(5)
# Li2V2P2O11

A relaxed structure of Li2V2P2O11 (PBEsol, Alexandria).

The space group is P2_12_12 (No. 18) and the conventional cell measures 7.839, 10.592 and 5.295 Å, with angles of 90.00, 90.00 and 90.00 degrees. The asymmetric unit holds Li at (0.109, 0.122, 0.047), V at (0.198, 0.952, 0.477), P at (0.054, 0.686, 0.676), O at (0.000, 0.000, 0.307), O at (0.005, 0.262, 0.922), O at (0.085, 0.388, 0.527), O at (0.113, 0.790, 0.486), O at (0.178, 0.004, 0.758) and O at (0.209, 0.595, 0.710).

Its uncorrected formation energy is -2.281 eV per atom.

=====

(6)
# BaCa2Au

A relaxed structure of BaCa2Au (PBEsol, Alexandria).

The space group is P4/mmm (No. 123) and the conventional cell measures 3.713, 3.713 and 9.882 Å, with angles of 90.00, 90.00 and 90.00 degrees. The asymmetric unit holds Ba at (0.000, 0.000, 0.000), Ca at (0.500, 0.500, 0.331) and Au at (0.000, 0.000, 0.500).

As for the energy of formation: -0.37 eV/atom. The value obtained for the distance to the lowest polymorph of the same formula is 0 meV per atom.

=====

The following raw total energy values (in eV/atom) correspond, in order, to the records above: -7.14, -2.18, -4.91, -3.87, -7.72, -2.95.
The following spin magnetization values (in μB/f.u.) correspond, in order, to the records above: 1.0, 0.0, 0.0, 1.2, 0.0, 0.0.
The following D(E_F) values (in states/eV per cell) correspond, in order, to the records above: 4.32, 4.87, 3.12, 5.15, 0.00, 3.82.